Ba2SmWO6 (SCAN, single point on PBEsol structure); formation energy from raw total energies = -3.040 eV per atom; spin magnetization = 0.000 μB per atom; theoretical density = 7.7 Mg/m³
1.0
0.000 4.238 4.238
4.238 0.000 4.238
4.238 4.238 0.000
Ba Sm W O
2 1 1 6
Direct
0.250 0.250 0.250
0.750 0.750 0.750
0.000 0.000 0.000
0.500 0.500 0.500
0.269 0.269 0.731
0.269 0.731 0.269
0.269 0.731 0.731
0.731 0.269 0.269
0.731 0.269 0.731
0.731 0.731 0.269

Ba4Sn3O10 (SCAN, single point on PBEsol structure); formation energy from raw total energies = -2.402 eV per atom; spin magnetization = 0.000 μB per atom; theoretical density = 6.4 Mg/m³
1.0
2.985 -6.703 0.000
2.985 6.703 0.000
0.000 0.000 13.813
Ba Sn O
8 6 20
Direct
0.030 0.970 0.857
0.234 0.766 0.617
0.266 0.734 0.117
0.470 0.530 0.357
0.530 0.470 0.643
0.734 0.266 0.883
0.766 0.234 0.383
0.970 0.030 0.143
0.000 0.000 0.500
0.137 0.863 0.346
0.363 0.637 0.846
0.500 0.500 0.000
0.637 0.363 0.154
0.863 0.137 0.654
0.031 0.969 0.646
0.117 0.342 0.537
0.137 0.363 0.750
0.158 0.383 0.963
0.216 0.784 0.832
0.284 0.716 0.332
0.342 0.117 0.463
0.363 0.137 0.250
0.383 0.158 0.037
0.469 0.531 0.146
0.531 0.469 0.854
0.617 0.842 0.963
0.637 0.863 0.750
0.658 0.883 0.537
0.716 0.284 0.668
0.784 0.216 0.168
0.842 0.617 0.037
0.863 0.637 0.250
0.883 0.658 0.463
0.969 0.031 0.354

BaSr2Sn3O9 (SCAN, single point on PBEsol structure); formation energy from raw total energies = -2.428 eV per atom; spin magnetization = 0.000 μB per atom; theoretical density = 6.6 Mg/m³
1.0
4.985 -2.903 0.000
4.985 2.903 0.000
-0.059 0.000 14.088
Ba Sr Sn O
2 4 6 18
Direct
0.167 0.167 0.333
0.833 0.833 0.667
0.155 0.180 0.836
0.490 0.510 0.500
0.502 0.498 0.000
0.820 0.845 0.164
0.162 0.171 0.082
0.165 0.168 0.584
0.496 0.502 0.248
0.498 0.504 0.752
0.829 0.838 0.918
0.832 0.835 0.416
0.030 0.517 0.508
0.071 0.929 0.000
0.149 0.631 0.828
0.194 0.677 0.346
0.255 0.412 0.165
0.323 0.806 0.654
0.369 0.851 0.172
0.378 0.288 0.669
0.483 0.970 0.492
0.519 0.044 0.012
0.588 0.745 0.835
0.657 0.142 0.319
0.699 0.194 0.847
0.712 0.622 0.331
0.806 0.301 0.153
0.858 0.343 0.681
0.929 0.071 0.500
0.956 0.481 0.988

BaSr3Sn4O12 (SCAN, single point on PBEsol structure); formation energy from raw total energies = -2.433 eV per atom; spin magnetization = 0.000 μB per atom; theoretical density = 6.6 Mg/m³
1.0
5.764 0.000 0.000
0.000 8.132 0.000
-0.016 0.000 5.767
Ba Sr Sn O
1 3 4 12
Direct
0.000 0.000 0.000
0.466 0.500 0.502
0.514 0.000 0.512
0.958 0.500 0.010
0.485 0.252 0.004
0.485 0.748 0.004
0.988 0.253 0.504
0.988 0.747 0.504
0.012 0.500 0.575
0.208 0.288 0.225
0.208 0.712 0.225
0.271 0.214 0.720
0.271 0.786 0.720
0.490 0.000 0.073
0.493 0.500 0.937
0.712 0.290 0.279
0.712 0.710 0.279
0.758 0.228 0.776
0.758 0.772 0.776
0.965 0.000 0.458

Ba4SrSn5O15 (SCAN, single point on PBEsol structure); formation energy from raw total energies = -2.413 eV per atom; spin magnetization = 0.000 μB per atom; theoretical density = 7.0 Mg/m³
1.0
2.914 1.682 11.887
-2.914 1.682 11.887
0.000 -3.365 11.887
Ba Sr Sn O
4 1 5 15
Direct
0.101 0.101 0.101
0.300 0.300 0.300
0.700 0.700 0.700
0.899 0.899 0.899
0.500 0.500 0.500
0.000 0.000 0.000
0.200 0.200 0.200
0.400 0.400 0.400
0.600 0.600 0.600
0.800 0.800 0.800
0.000 0.000 0.500
0.000 0.500 0.000
0.105 0.599 0.599
0.200 0.200 0.700
0.200 0.700 0.200
0.300 0.800 0.800
0.401 0.401 0.895
0.401 0.895 0.401
0.500 0.000 0.000
0.599 0.105 0.599
0.599 0.599 0.105
0.700 0.200 0.200
0.800 0.300 0.800
0.800 0.800 0.300
0.895 0.401 0.401

Ba4SrSn5O15 (SCAN, single point on PBEsol structure); formation energy from raw total energies = -2.414 eV per atom; spin magnetization = 0.000 μB per atom; theoretical density = 7.0 Mg/m³
1.0
4.121 0.000 0.000
0.000 4.121 0.000
0.000 0.000 20.601
Ba Sr Sn O
4 1 5 15
Direct
0.000 0.000 0.101
0.000 0.000 0.302
0.000 0.000 0.698
0.000 0.000 0.899
0.000 0.000 0.500
0.500 0.500 0.000
0.500 0.500 0.201
0.500 0.500 0.402
0.500 0.500 0.598
0.500 0.500 0.799
0.000 0.500 0.000
0.000 0.500 0.201
0.000 0.500 0.404
0.000 0.500 0.596
0.000 0.500 0.799
0.500 0.000 0.000
0.500 0.000 0.201
0.500 0.000 0.404
0.500 0.000 0.596
0.500 0.000 0.799
0.500 0.500 0.101
0.500 0.500 0.302
0.500 0.500 0.500
0.500 0.500 0.698
0.500 0.500 0.899

- The lowest theoretical density belongs to which entry?
  Ba4Sn3O10